Entry 1:
# YErPuTl PBE optimized geometry
# - Energy of formation from the pure elements: 0.05 eV per atom
# - Calculated volume: 112.1 Å³ per cell
# - E: -6.884 eV per atom
data_YErPuTl
_chemical_formula_sum 'Y1 Er1 Pu1 Tl1'
_cell_length_a 5.412
_cell_length_b 5.412
_cell_length_c 5.412
_cell_angle_alpha 60.00
_cell_angle_beta 60.00
_cell_angle_gamma 60.00
_space_group_name_H-M_alt 'P 1'
_space_group_IT_number 1
_space_group_name_Hall 'P 1'
loop_
_atom_site_label
_atom_site_type_symbol
_atom_site_fract_x
_atom_site_fract_y
_atom_site_fract_z
Y1 Y 0.000 0.000 0.000
Er1 Er 0.500 0.500 0.500
Pu1 Pu 0.750 0.750 0.750
Tl1 Tl 0.250 0.250 0.250

***

Entry 2:
# SrLaRu PBE optimized geometry
# - Energy of formation from the pure elements: 0.02 eV per atom
# - Excess energy over the best structure of this formula in the dataset: 0.002 eV/atom
# - Calculated volume: 92.5 Å³ per cell
# - E: -5.275 eV per atom
data_SrLaRu
_chemical_formula_sum 'Sr1 La1 Ru1'
_cell_length_a 7.618
_cell_length_b 7.618
_cell_length_c 7.618
_cell_angle_alpha 152.75
_cell_angle_beta 152.75
_cell_angle_gamma 38.91
_space_group_name_H-M_alt 'P 1'
_space_group_IT_number 1
_space_group_name_Hall 'P 1'
loop_
_atom_site_label
_atom_site_type_symbol
_atom_site_fract_x
_atom_site_fract_y
_atom_site_fract_z
Sr1 Sr 0.000 0.000 0.000
La1 La 0.243 0.243 0.000
Ru1 Ru 0.641 0.641 0.000